Entry 1:
Nd7Ho2Th2: optimized geometry, PBE.

The structure in CIF format:
```
data_Nd7Ho2Th2
_chemical_formula_sum 'Nd14 Ho4 Th4'
_symmetry_space_group_name_H-M 'C 1 2/m 1'
_symmetry_Int_Tables_number 12
_cell_length_a 11.460
_cell_length_b 11.532
_cell_length_c 6.164
_cell_angle_alpha 90.00
_cell_angle_beta 112.07
_cell_angle_gamma 90.00
loop_
_symmetry_equiv_pos_as_xyz
'x,y,z'
'-x,-y,-z'
'-x,y,-z'
'x,-y,z'
'x+1/2,y+1/2,z'
'-x+1/2,-y+1/2,-z'
'-x+1/2,y+1/2,-z'
'x+1/2,-y+1/2,z'
loop_
_atom_site_label
_atom_site_fract_x
_atom_site_fract_y
_atom_site_fract_z
Nd1 0.000 0.000 0.000
Nd2 0.179 0.234 0.172
Nd3 0.231 0.000 0.592
Ho1 0.000 0.224 0.500
Th1 0.072 0.500 0.802
```

## Properties
**Magnetic moment**: 0.00 Bohr magnetons per cell
**Excess energy over the best structure of this formula in the dataset**: 0 meV per atom
**Formation energy**: 0.17 eV per atom
**N(E_F)**: 32.08 states/eV per cell
**E_tot**: -110.93 eV for the cell shown

Entry 2:
InHg2Cl: optimized geometry, PBE.

The structure in CIF format:
```
data_InHg2Cl
_chemical_formula_sum 'In2 Hg4 Cl2'
_symmetry_space_group_name_H-M 'C 1 2/m 1'
_symmetry_Int_Tables_number 12
_cell_length_a 6.143
_cell_length_b 12.261
_cell_length_c 4.328
_cell_angle_alpha 90.00
_cell_angle_beta 133.30
_cell_angle_gamma 90.00
loop_
_symmetry_equiv_pos_as_xyz
'x,y,z'
'-x,-y,-z'
'-x,y,-z'
'x,-y,z'
'x+1/2,y+1/2,z'
'-x+1/2,-y+1/2,-z'
'-x+1/2,y+1/2,-z'
'x+1/2,-y+1/2,z'
loop_
_atom_site_label
_atom_site_fract_x
_atom_site_fract_y
_atom_site_fract_z
In1 0.000 0.000 0.000
Hg1 0.250 0.250 0.500
Cl1 0.000 0.500 0.000
```

## Properties
**Magnetic moment**: 0.00 Bohr magnetons per cell
**Excess energy over the best structure of this formula in the dataset**: 39 meV per atom
**Uncorrected formation energy**: -0.356 eV/atom
**N(E_F)**: 1.05 states/eV per cell
**E_tot**: -13.22 eV for the cell shown

Entry 3:
Ce5Er2Sb4: optimized geometry, PBE.

The structure in CIF format:
```
data_Ce5Er2Sb4
_chemical_formula_sum 'Ce10 Er4 Sb8'
_symmetry_space_group_name_H-M 'C 1 2/m 1'
_symmetry_Int_Tables_number 12
_cell_length_a 18.352
_cell_length_b 3.262
_cell_length_c 13.923
_cell_angle_alpha 90.00
_cell_angle_beta 122.28
_cell_angle_gamma 90.00
loop_
_symmetry_equiv_pos_as_xyz
'x,y,z'
'-x,-y,-z'
'-x,y,-z'
'x,-y,z'
'x+1/2,y+1/2,z'
'-x+1/2,-y+1/2,-z'
'-x+1/2,y+1/2,-z'
'x+1/2,-y+1/2,z'
loop_
_atom_site_label
_atom_site_fract_x
_atom_site_fract_y
_atom_site_fract_z
Ce1 0.000 0.000 0.000
Ce2 0.028 0.500 0.221
Ce3 0.176 0.000 0.987
Er1 0.136 0.500 0.729
Sb1 0.068 0.500 0.474
Sb2 0.184 0.000 0.231
```

## Properties
**Magnetic moment**: 4.20 Bohr magnetons per cell
**Uncorrected formation energy**: -0.120 eV/atom
**N(E_F)**: 46.12 states/eV per cell
**E_tot**: -113.20 eV for the cell shown

Entry 4:
YSc2Ni2: optimized geometry, PBE.

The structure in CIF format:
```
data_YSc2Ni2
_chemical_formula_sum 'Y2 Sc4 Ni4'
_symmetry_space_group_name_H-M 'I 4/m m m'
_symmetry_Int_Tables_number 139
_symmetry_space_group_name_Hall '-I 4 2'
_cell_length_a 4.316
_cell_length_b 4.316
_cell_length_c 10.720
_cell_angle_alpha 90.00
_cell_angle_beta 90.00
_cell_angle_gamma 90.00
loop_
_atom_site_label
_atom_site_fract_x
_atom_site_fract_y
_atom_site_fract_z
Y1 0.000 0.000 0.000
Sc1 0.000 0.500 0.250
Ni1 0.000 0.000 0.394
```

## Properties
**Magnetic moment**: 0.00 Bohr magnetons per cell
**Excess energy over the best structure of this formula in the dataset**: 31 meV per atom
**Formation energy**: -0.31 eV per atom
**N(E_F)**: 22.90 states/eV per cell
**E_tot**: -64.49 eV for the cell shown

Entry 5:
AlReSe2: optimized geometry, PBE.

The structure in CIF format:
```
data_AlReSe2
_chemical_formula_sum 'Al1 Re1 Se2'
_symmetry_space_group_name_H-M 'P 1 m 1'
_symmetry_Int_Tables_number 6
_cell_length_a 3.257
_cell_length_b 3.293
_cell_length_c 7.964
_cell_angle_alpha 90.00
_cell_angle_beta 101.33
_cell_angle_gamma 90.00
loop_
_symmetry_equiv_pos_as_xyz
'x,y,z'
'x,-y,z'
loop_
_atom_site_label
_atom_site_fract_x
_atom_site_fract_y
_atom_site_fract_z
Al1 0.000 0.000 0.000
Re1 0.580 0.500 0.167
Se1 0.420 0.500 0.833
Se2 0.691 0.000 0.398
```

## Properties
**Magnetic moment**: 0.00 Bohr magnetons per cell
**Uncorrected formation energy**: -0.145 eV/atom
**N(E_F)**: 1.62 states/eV per cell
**E_tot**: -23.74 eV for the cell shown

Entry 6:
CaHoAgSe3: optimized geometry, PBE.

The structure in CIF format:
```
data_CaHoAgSe3
_chemical_formula_sum 'Ca2 Ho2 Ag2 Se6'
_symmetry_space_group_name_H-M 'P 1 21/m 1'
_symmetry_Int_Tables_number 11
_cell_length_a 8.143
_cell_length_b 4.078
_cell_length_c 9.295
_cell_angle_alpha 90.00
_cell_angle_beta 103.28
_cell_angle_gamma 90.00
loop_
_symmetry_equiv_pos_as_xyz
'x,y,z'
'-x,-y,-z'
'-x,y+1/2,-z'
'x,-y+1/2,z'
loop_
_atom_site_label
_atom_site_fract_x
_atom_site_fract_y
_atom_site_fract_z
Ca1 0.200 0.250 0.252
Ho1 0.323 0.750 0.831
Ag1 0.094 0.250 0.586
Se1 0.085 0.250 0.868
Se2 0.274 0.750 0.512
Se3 0.425 0.750 0.151
```

## Properties
**Magnetic moment**: 0.00 Bohr magnetons per cell
**Uncorrected formation energy**: -1.457 eV/atom
**E_tot**: -57.26 eV for the cell shown